Entry 1:
A plane-wave DFT calculation with PBEsol was carried out for a relaxed structure of Ca2NbNi2.

a = 6.598 Å, b = 6.598 Å, c = 6.598 Å
α = 145.01°, β = 145.01°, γ = 50.32°
Positions (direct):
Ca  0.250  0.750  0.500
Ca  0.750  0.250  0.500
Nb  0.000  0.000  0.000
Ni  0.410  0.410  0.000
Ni  0.590  0.590  0.000

E_form: 0.7353 eV per atom

Entry 2:
A plane-wave DFT calculation with PBEsol was carried out for a relaxed structure of Cs2GaAu.

a = 9.729 Å, b = 9.729 Å, c = 9.729 Å
α = 93.57°, β = 93.57°, γ = 151.11°
Positions (direct):
Cs  0.375  0.059  0.184
Cs  0.809  0.625  0.684
Cs  0.875  0.191  0.816
Cs  0.941  0.125  0.316
Ga  0.250  0.750  0.500
Ga  0.500  0.500  0.000
Au  0.000  0.000  0.000
Au  0.750  0.250  0.500

E_form: -0.0865 eV per atom

Entry 3:
A plane-wave DFT calculation with PBEsol was carried out for a relaxed structure of NaSb2Ru.

a = 7.266 Å, b = 7.266 Å, c = 7.266 Å
α = 123.06°, β = 123.06°, γ = 84.78°
Positions (direct):
Na  0.000  0.000  0.000
Na  0.750  0.250  0.500
Sb  0.208  0.625  0.083
Sb  0.375  0.458  0.583
Sb  0.542  0.125  0.917
Sb  0.875  0.792  0.417
Ru  0.250  0.750  0.500
Ru  0.500  0.500  0.000

DFT total energy: -4.885 eV per atom

Entry 4:
A plane-wave DFT calculation with PBEsol was carried out for a relaxed structure of Sr2LiAg2.

a = 8.155 Å, b = 8.155 Å, c = 4.354 Å
α = 90.00°, β = 90.00°, γ = 90.00°
Positions (direct):
Sr  0.174  0.326  0.000
Sr  0.326  0.826  0.000
Sr  0.674  0.174  0.000
Sr  0.826  0.674  0.000
Li  0.000  0.000  0.500
Li  0.500  0.500  0.500
Ag  0.122  0.622  0.500
Ag  0.378  0.122  0.500
Ag  0.622  0.878  0.500
Ag  0.878  0.378  0.500

E_form: -0.1959 eV per atom

Entry 5:
A plane-wave DFT calculation with PBEsol was carried out for a relaxed structure of LiCa2Mo.

a = 3.056 Å, b = 3.056 Å, c = 10.306 Å
α = 90.00°, β = 90.00°, γ = 90.00°
Positions (direct):
Li  0.000  0.000  0.000
Ca  0.500  0.500  0.280
Ca  0.500  0.500  0.720
Mo  0.000  0.000  0.500

E_form: 0.5972 eV per atom

Entry 6:
A plane-wave DFT calculation with PBEsol was carried out for a relaxed structure of NiPS2.

a = 7.038 Å, b = 7.038 Å, c = 7.038 Å
α = 27.45°, β = 27.45°, γ = 27.45°
Positions (direct):
Ni  0.000  0.000  0.000
P  0.500  0.500  0.500
S  0.101  0.101  0.101
S  0.899  0.899  0.899

DFT total energy: -5.036 eV per atom

Entry 7:
A plane-wave DFT calculation with PBEsol was carried out for a relaxed structure of KSe.

a = 6.569 Å, b = 6.569 Å, c = 6.569 Å
α = 50.05°, β = 50.05°, γ = 50.05°
Positions (direct):
K  0.242  0.242  0.242
K  0.758  0.758  0.758
Se  0.430  0.430  0.430
Se  0.570  0.570  0.570

DFT total energy: -3.300 eV per atom

Entry 8:
A plane-wave DFT calculation with PBEsol was carried out for a relaxed structure of MgSc2Cu.

a = 5.427 Å, b = 5.427 Å, c = 5.427 Å
α = 140.96°, β = 128.43°, γ = 66.53°
Positions (direct):
Mg  0.000  0.000  0.000
Sc  0.277  0.777  0.500
Sc  0.723  0.223  0.500
Cu  0.500  0.500  0.000

E_form: 0.0049 eV per atom

Respective V values: 94, 215, 129, 145, 96, 65, 77, 78 Å³/f.u..